1.
AcScAsO5 after structural relaxation, computed with PBE-GGA.

Cell lengths 5.9487, 5.9487, 7.8758 Å; angles 106.06, 106.06, 102.97 degrees
Last column: nearest neighbours and their distance in Å.
Element x y z (fractional)
Ac 0.3193 0.6807 0.2500  7 O 2.41-2.68
Ac 0.6807 0.3193 0.7500  7 O 2.41-2.68
Sc 0.0000 0.0000 0.5000  6 O 2.05-2.21
Sc 0.0000 0.0000 0.0000  6 O 2.05-2.21
As 0.6943 0.3057 0.2500  4 O 1.79-1.96
As 0.3057 0.6943 0.7500  4 O 1.79-1.96
O 0.0604 0.9396 0.2500  2 Sc 2.05
O 0.9396 0.0604 0.7500  2 Sc 2.05
O 0.8898 0.3284 0.0883  1 As 1.96, 1 Sc 2.19
O 0.1102 0.6716 0.9117  1 As 1.96, 1 Sc 2.19
O 0.6716 0.1102 0.4117  1 As 1.96, 1 Sc 2.19
O 0.3284 0.8898 0.5883  1 As 1.96, 1 Sc 2.19
O 0.7515 0.6145 0.4017  1 As 1.79
O 0.2485 0.3855 0.5983  1 As 1.79
O 0.3855 0.2485 0.0983  1 As 1.79
O 0.6145 0.7515 0.9017  1 As 1.79

* space group: C2/c, No. 15
* calculated density: 5.827 g/cm³
* spin magnetization: 0.106 μB per atom
* volume: 15.2 Å³ per atom

=====

2.
AcSc2AsO8 after structural relaxation, computed with PBE-GGA.

Cell lengths 4.7057, 4.6902, 7.1230 Å; angles 89.99, 89.99, 90.33 degrees
Last column: nearest neighbours and their distance in Å.
Element x y z (fractional)
Ac 0.0000 0.0000 0.5000  6 O 2.48-2.62
Sc 0.4999 0.4999 0.7989  6 O 2.02-2.26
Sc 0.5001 0.5001 0.2011  6 O 2.02-2.26
As 0.0000 0.0000 0.0000  6 O 1.89
O 0.1802 0.8054 0.1987  1 As 1.89, 1 Sc 2.08
O 0.7080 0.7227 0.9999  1 As 1.89, 2 Sc 2.02
O 0.8196 0.1943 0.1987  1 As 1.89, 1 Sc 2.08
O 0.8198 0.1946 0.8013  1 As 1.89, 1 Sc 2.08
O 0.2920 0.2773 0.0001  1 As 1.89, 2 Sc 2.02
O 0.1804 0.8057 0.8013  1 As 1.89, 1 Sc 2.08
O 0.5653 0.6471 0.5000  1 O 1.51
O 0.4347 0.3529 0.5000  1 O 1.51

* space group: P2/m, No. 10
* calculated density: 5.491 g/cm³
* spin magnetization: 0.000 μB per atom
* volume: 13.1 Å³ per atom

=====

3.
AcScAs2O8 after structural relaxation, computed with PBE-GGA.

Cell lengths 6.1070, 6.1070, 6.1070 Å; angles 105.96, 105.96, 116.75 degrees
Last column: nearest neighbours and their distance in Å.
Element x y z (fractional)
Ac 0.0000 0.0000 0.0000  8 O 2.47-2.57
Sc 0.2500 0.7500 0.5000  8 O 2.36
As 0.7500 0.2500 0.5000  4 O 1.72
As 0.5000 0.5000 0.0000  4 O 1.73
O 0.3952 0.0637 0.3315  1 As 1.72
O 0.3380 0.5268 0.1888  1 As 1.73
O 0.3380 0.1491 0.8112  1 As 1.73
O 0.7322 0.0637 0.6685  1 As 1.72
O 0.8509 0.6620 0.1888  1 As 1.73
O 0.9363 0.2678 0.3315  1 As 1.72
O 0.9363 0.6048 0.6685  1 As 1.72
O 0.4732 0.6620 0.8112  1 As 1.73

* space group: I-4m2, No. 119
* calculated density: 5.272 g/cm³
* spin magnetization: 0.000 μB per atom
* volume: 14.4 Å³ per atom

=====

4.
Ac4As2SeO2 after structural relaxation, computed with PBE-GGA.

Cell lengths 4.2005, 8.3457, 7.9057 Å; angles 113.17, 90.00, 104.58 degrees
Last column: nearest neighbours and their distance in Å.
Element x y z (fractional)
Ac 0.7772 0.5543 0.8128  3 O 2.52-2.55
Ac 0.2228 0.4457 0.1872  3 O 2.52-2.55
Ac 0.4762 0.9524 0.2661  1 O 2.47
Ac 0.5238 0.0476 0.7339  1 O 2.47
As 0.8737 0.7474 0.4552  6 Ac 3.26-3.38
As 0.1263 0.2526 0.5448  6 Ac 3.26-3.38
Se 0.0000 0.0000 0.0000  6 Ac 3.11-3.29
O 0.3234 0.6468 0.0130  4 Ac 2.47-2.55
O 0.6766 0.3532 0.9870  4 Ac 2.47-2.55

* space group: C2/m, No. 12
* calculated density: 7.920 g/cm³
* spin magnetization: 0.000 μB per atom
* volume: 27.2 Å³ per atom

=====

5.
AcAsSe2O after structural relaxation, computed with PBE-GGA.

Cell lengths 4.0770, 4.0770, 14.4687 Å; angles 90.00, 90.00, 90.00 degrees
Last column: nearest neighbours and their distance in Å.
Element x y z (fractional)
Ac 0.5000 0.0000 0.5939  4 O 2.45
Ac 0.0000 0.5000 0.4061  4 O 2.45
As 0.5000 0.0000 0.1253  1 Se 2.39
As 0.0000 0.5000 0.8747  1 Se 2.39
Se 0.0000 0.5000 0.7096  1 As 2.39
Se 0.0000 0.5000 0.0992  5 As 2.91-3.25
Se 0.5000 0.0000 0.9008  5 As 2.91-3.25
Se 0.5000 0.0000 0.2904  1 As 2.39
O 0.0000 0.0000 0.5000  4 Ac 2.45
O 0.5000 0.5000 0.5000  4 Ac 2.45

* space group: P4/nmm, No. 129
* calculated density: 6.571 g/cm³
* spin magnetization: 0.000 μB per atom
* volume: 24.0 Å³ per atom

=====

6.
AcSi2AsO8 after structural relaxation, computed with PBE-GGA.

Cell lengths 4.7320, 4.7320, 8.0140 Å; angles 72.83, 72.83, 60.00 degrees
Last column: nearest neighbours and their distance in Å.
Element x y z (fractional)
Ac 0.0000 0.0000 0.0000  12 O 2.77-3.08
Si 0.7602 0.7602 0.7195  4 O 1.63-1.64
Si 0.2398 0.2398 0.2805  4 O 1.63-1.64
As 0.5000 0.5000 0.5000  6 O 1.89
O 0.6881 0.6881 0.9358  1 Si 1.63
O 0.3119 0.3119 0.0642  1 Si 1.63
O 0.5332 0.2595 0.3385  1 Si 1.64
O 0.7405 0.4668 0.6615  1 Si 1.64
O 0.1312 0.7405 0.6615  1 Si 1.64
O 0.2595 0.8688 0.3385  1 Si 1.64
O 0.8688 0.5332 0.3385  1 Si 1.64
O 0.4668 0.1312 0.6615  1 Si 1.64

* space group: R32, No. 155
* calculated density: 5.525 g/cm³
* spin magnetization: 0.000 μB per atom
* volume: 12.2 Å³ per atom

=====

7.
AcSiAs2O8 after structural relaxation, computed with PBE-GGA.

Cell lengths 5.1233, 5.0418, 7.4650 Å; angles 65.75, 69.93, 59.46 degrees
Last column: nearest neighbours and their distance in Å.
Element x y z (fractional)
Ac 0.5000 0.5000 0.5000  8 O 2.69-2.95
Si 0.0000 0.0000 0.0000  6 O 1.79-1.81
As 0.3121 0.2146 0.1613  4 O 1.73-1.85
As 0.6879 0.7854 0.8387  4 O 1.73-1.85
O 0.8233 0.7547 0.5987  1 As 1.73
O 0.7841 0.3977 0.0341  1 Si 1.81, 1 As 1.83
O 0.1767 0.2453 0.4013  1 As 1.73
O 0.2159 0.6023 0.9659  1 Si 1.81, 1 As 1.83
O 0.7074 0.9022 0.1900  1 Si 1.79, 1 As 1.85
O 0.2926 0.0978 0.8100  1 Si 1.79, 1 As 1.85
O 0.2003 0.9022 0.1900  1 Si 1.79, 1 As 1.85
O 0.7997 0.0978 0.8100  1 Si 1.79, 1 As 1.85

* space group: C2/m, No. 12
* calculated density: 5.932 g/cm³
* spin magnetization: 0.000 μB per atom
* volume: 12.4 Å³ per atom

=====

8.
AcSmAsO after structural relaxation, computed with PBE-GGA.

Cell lengths 4.5888, 4.5888, 9.5967 Å; angles 90.00, 90.00, 90.00 degrees
Last column: nearest neighbours and their distance in Å.
Element x y z (fractional)
Ac 0.5000 0.0000 0.6137  4 O 2.54
Ac 0.0000 0.5000 0.3863  4 O 2.54
Sm 0.5000 0.5000 0.0000  4 As 2.94, 4 Sm 3.24
Sm 0.0000 0.0000 0.0000  4 As 2.94, 4 Sm 3.24
As 0.0000 0.5000 0.8091  4 Sm 2.94
As 0.5000 0.0000 0.1909  4 Sm 2.94
O 0.0000 0.0000 0.5000  4 Ac 2.54
O 0.5000 0.5000 0.5000  4 Ac 2.54

* space group: P4/nmm, No. 129
* calculated density: 7.696 g/cm³
* spin magnetization: 0.000 μB per atom
* volume: 25.3 Å³ per atom

=====

9.
Ac2SmAsO8 after structural relaxation, computed with PBE-GGA.

Cell lengths 5.6070, 5.6070, 6.3520 Å; angles 90.00, 90.00, 120.00 degrees
Last column: nearest neighbours and their distance in Å.
Element x y z (fractional)
Ac 0.6667 0.3333 0.1402  1 O 2.18
Ac 0.3333 0.6667 0.8598  1 O 2.18
Sm 0.0000 0.0000 0.5000  6 O 2.54
As 0.0000 0.0000 0.0000  6 O 1.86
O 0.8467 0.6933 0.8246  1 As 1.86
O 0.3067 0.1533 0.8246  1 As 1.86
O 0.8467 0.1533 0.8246  1 As 1.86
O 0.1533 0.3067 0.1754  1 As 1.86
O 0.6933 0.8467 0.1754  1 As 1.86
O 0.1533 0.8467 0.1754  1 As 1.86
O 0.6667 0.3333 0.4839  1 Ac 2.18
O 0.3333 0.6667 0.5161  1 Ac 2.18

* space group: P-3m1, No. 164
* calculated density: 7.751 g/cm³
* spin magnetization: 0.172 μB per atom
* volume: 14.4 Å³ per atom

=====

10.
AcSmAsO2 after structural relaxation, computed with PBE-GGA.

Cell lengths 4.0029, 4.0029, 7.3664 Å; angles 105.77, 105.77, 90.00 degrees
Last column: nearest neighbours and their distance in Å.
Element x y z (fractional)
Ac 0.8459 0.8459 0.6917  4 O 2.43
Sm 0.1602 0.1602 0.3205  4 O 2.30
As 0.5056 0.5056 0.0112  4 Sm 3.53, 4 Ac 3.57, 4 O 3.81
O 0.7442 0.2442 0.4883  2 Sm 2.30, 2 Ac 2.43
O 0.2442 0.7442 0.4883  2 Sm 2.30, 2 Ac 2.43

* space group: I4mm, No. 107
* calculated density: 7.380 g/cm³
* spin magnetization: 0.001 μB per atom
* volume: 21.8 Å³ per atom

=====

11.
AcSnAs2O8 after structural relaxation, computed with PBE-GGA.

Cell lengths 5.7375, 5.7375, 7.0851 Å; angles 90.00, 90.00, 120.00 degrees
Last column: nearest neighbours and their distance in Å.
Element x y z (fractional)
Ac 0.0000 0.0000 0.5000  6 O 2.50
Sn 0.0000 0.0000 0.0000  6 O 2.39
As 0.6667 0.3333 0.1485  4 O 1.66-1.75
As 0.3333 0.6667 0.8515  4 O 1.66-1.75
O 0.3333 0.6667 0.0854  1 As 1.66
O 0.3387 0.1694 0.2399  1 As 1.75
O 0.8306 0.1693 0.2399  1 As 1.75
O 0.6667 0.3333 0.9146  1 As 1.66
O 0.1694 0.8307 0.7601  1 As 1.75
O 0.6613 0.8306 0.7601  1 As 1.75
O 0.1693 0.3387 0.7601  1 As 1.75
O 0.8307 0.6613 0.2399  1 As 1.75

* space group: P-3m1, No. 164
* calculated density: 5.126 g/cm³
* spin magnetization: 0.000 μB per atom
* volume: 16.8 Å³ per atom

=====

12.
Ac2SnAs2O2 after structural relaxation, computed with PBE-GGA.

Cell lengths 4.0892, 4.0892, 13.7426 Å; angles 90.00, 90.00, 120.00 degrees
Last column: nearest neighbours and their distance in Å.
Element x y z (fractional)
Ac 0.6667 0.3333 0.2387  3 O 2.37
Ac 0.3333 0.6667 0.7613  3 O 2.37
Sn 0.0000 0.0000 0.0000  6 O 3.84, 6 Ac 4.04, 6 Sn 4.09
As 0.0000 0.0000 0.5796  1 As 2.19
As 0.0000 0.0000 0.4204  1 As 2.19
O 0.6667 0.3333 0.7795  3 Ac 2.37
O 0.3333 0.6667 0.2205  3 Ac 2.37

* space group: P-3m1, No. 164
* calculated density: 6.296 g/cm³
* spin magnetization: 0.098 μB per atom
* volume: 28.4 Å³ per atom

=====

| no. | total DFT energy (no corrections) (eV per atom) |
| --- | --- |
| 1 | -7.5287 |
| 2 | -7.4477 |
| 3 | -7.1470 |
| 4 | -6.5646 |
| 5 | -5.6516 |
| 6 | -7.1959 |
| 7 | -6.6728 |
| 8 | -6.5776 |
| 9 | -6.9459 |
| 10 | -7.2569 |
| 11 | -6.3647 |
| 12 | -5.8906 |